# 1
Compound: TbYEr2
Source: the Alexandria database
Functional: GGA-PBE
Structure: optimized geometry

The space group is P4/mmm (No. 123) and the conventional cell measures 5.005, 5.005 and 4.998 Å, with angles of 90.00, 90.00 and 90.00 degrees. The asymmetric unit holds Tb at (0.000, 0.000, 0.000), Y at (0.500, 0.500, 0.000) and Er at (0.000, 0.500, 0.500).

For the energy above the most stable polymorph in this dataset, the calculation gives 15 meV/atom. As for the formation energy: 0.024 eV/atom.


# 2
Compound: Tb3Y4Er
Source: the Alexandria database
Functional: GGA-PBE
Structure: optimized geometry

The space group is Cmmm (No. 65) and the conventional cell measures 5.631, 26.263 and 3.558 Å, with angles of 90.00, 90.00 and 90.00 degrees. The asymmetric unit holds Tb at (0.000, 0.000, 0.000), Tb at (0.000, 0.155, 0.500), Y at (0.000, 0.277, 0.000), Y at (0.000, 0.397, 0.000) and Er at (0.000, 0.500, 0.500).

For the energy above the most stable polymorph in this dataset, the calculation gives 193 meV/atom. As for the formation energy: 0.197 eV/atom.


# 3
Compound: TbY6Er2
Source: the Alexandria database
Functional: GGA-PBE
Structure: optimized geometry

The space group is C2/c (No. 15) and the conventional cell measures 13.400, 11.680 and 9.026 Å, with angles of 90.00, 125.33 and 90.00 degrees. The asymmetric unit holds Tb at (0.000, 0.082, 0.250), Y at (0.083, 0.389, 0.987), Y at (0.152, 0.349, 0.406), Y at (0.206, 0.092, 0.132) and Er at (0.108, 0.172, 0.695).

For the energy above the most stable polymorph in this dataset, the calculation gives 0 meV/atom. As for the formation energy: 0.069 eV/atom.


# 4
Compound: Tb3Y2Er8
Source: the Alexandria database
Functional: GGA-PBE
Structure: optimized geometry

The space group is C2/m (No. 12) and the conventional cell measures 22.816, 6.773 and 5.557 Å, with angles of 90.00, 103.95 and 90.00 degrees. The asymmetric unit holds Tb at (0.000, 0.000, 0.000), Tb at (0.000, 0.266, 0.500), Y at (0.223, 0.500, 0.224), Er at (0.075, 0.500, 0.075), Er at (0.152, 0.261, 0.653) and Er at (0.184, 0.000, 0.184).

For the energy above the most stable polymorph in this dataset, the calculation gives 0 meV/atom. As for the formation energy: 0.162 eV/atom.


# 5
Compound: Tb12YEr3
Source: the Alexandria database
Functional: GGA-PBE
Structure: optimized geometry

The space group is P4/mmm (No. 123) and the conventional cell measures 5.024, 5.024 and 20.088 Å, with angles of 90.00, 90.00 and 90.00 degrees. The asymmetric unit holds Tb at (0.000, 0.000, 0.000), Tb at (0.000, 0.000, 0.249), Tb at (0.000, 0.000, 0.500), Tb at (0.000, 0.500, 0.125), Tb at (0.000, 0.500, 0.374), Y at (0.500, 0.500, 0.500), Er at (0.500, 0.500, 0.000) and Er at (0.500, 0.500, 0.250).

As for the formation energy: 0.018 eV/atom.


# 6
Compound: Tb2Y3Er
Source: the Alexandria database
Functional: GGA-PBE
Structure: optimized geometry

The space group is C2/m (No. 12) and the conventional cell measures 17.745, 3.502 and 14.162 Å, with angles of 90.00, 117.46 and 90.00 degrees. The asymmetric unit holds Tb at (0.158, 0.000, 0.470), Tb at (0.181, 0.500, 0.882), Y at (0.038, 0.500, 0.215), Y at (0.099, 0.000, 0.025), Y at (0.240, 0.000, 0.293) and Er at (0.063, 0.000, 0.643).

For the energy above the most stable polymorph in this dataset, the calculation gives 97 meV/atom. As for the formation energy: 0.119 eV/atom.


# 7
Compound: Tb4Y3Er4
Source: the Alexandria database
Functional: GGA-PBE
Structure: optimized geometry

The space group is P-1 (No. 2) and the conventional cell measures 3.521, 5.568 and 18.007 Å, with angles of 81.12, 84.40 and 90.00 degrees. The asymmetric unit holds Tb at (0.045, 0.045, 0.408), Tb at (0.180, 0.680, 0.139), Y at (0.363, 0.863, 0.774), Y at (0.500, 0.500, 0.500), Er at (0.091, 0.590, 0.319) and Er at (0.234, 0.233, 0.033).

For the energy above the most stable polymorph in this dataset, the calculation gives 32 meV/atom. As for the formation energy: 0.053 eV/atom.


# 8
Compound: TbY2Er2
Source: the Alexandria database
Functional: GGA-PBE
Structure: optimized geometry

The space group is P4/mbm (No. 127) and the conventional cell measures 9.300, 9.300 and 3.709 Å, with angles of 90.00, 90.00 and 90.00 degrees. The asymmetric unit holds Tb at (0.000, 0.000, 0.000), Y at (0.172, 0.328, 0.500) and Er at (0.126, 0.626, 0.000).

For the energy above the most stable polymorph in this dataset, the calculation gives 78 meV/atom. As for the formation energy: 0.089 eV/atom.